LiLaW2O8 | PBEsol | relaxed

The structure in CIF format:
```
data_LiLaW2O8
_chemical_formula_sum 'Li2 La2 W4 O16'
_cell_length_a 7.112
_cell_length_b 7.382
_cell_length_c 7.552
_cell_angle_alpha 113.94
_cell_angle_beta 115.80
_cell_angle_gamma 90.79
_space_group_name_H-M_alt 'P -1'
_space_group_IT_number 2
loop_
_space_group_symop_operation_xyz
'x,y,z'
'-x,-y,-z'
loop_
_atom_site_label
_atom_site_type_symbol
_atom_site_fract_x
_atom_site_fract_y
_atom_site_fract_z
Li1 Li 0.241 0.331 0.495
La1 La 0.318 0.713 0.042
W1 W 0.145 0.100 0.781
W2 W 0.243 0.707 0.473
O1 O 0.017 0.173 0.491
O2 O 0.056 0.466 0.253
O3 O 0.115 0.829 0.244
O4 O 0.206 0.007 0.977
O5 O 0.318 0.636 0.693
O6 O 0.321 0.353 0.933
O7 O 0.362 0.007 0.694
O8 O 0.463 0.694 0.412
```

Properties
E_form (uncorrected) = -30.4 eV/f.u.
DFT total energy = -8.94 eV per atom
polymorph energy (0 for the lowest one) = 0.0 meV per atom

LiLaOs2 | PBEsol | relaxed

The structure in CIF format:
```
data_LiLaOs2
_chemical_formula_sum 'Li3 La3 Os6'
_cell_length_a 4.2928
_cell_length_b 4.2928
_cell_length_c 15.0231
_cell_angle_alpha 90.00
_cell_angle_beta 90.00
_cell_angle_gamma 120.00
_space_group_name_H-M_alt 'R 3 m'
_space_group_IT_number 160
_space_group_name_Hall 'R 3 -2"'
loop_
_atom_site_label
_atom_site_type_symbol
_atom_site_fract_x
_atom_site_fract_y
_atom_site_fract_z
Li1 Li 0.0000 0.0000 0.0000
La1 La 0.0000 0.0000 0.2016
Os1 Os 0.0000 0.0000 0.4023
Os2 Os 0.0000 0.0000 0.7270
```

Properties
energy of formation from the pure elements = 89 meV per atom
DFT total energy = -7.85 eV per atom
polymorph energy (0 for the lowest one) = 0.0 meV per atom

LiLaOs2 | PBEsol | relaxed

The structure in CIF format:
```
data_LiLaOs2
_chemical_formula_sum 'Li2 La2 Os4'
_cell_length_a 5.446
_cell_length_b 9.498
_cell_length_c 2.871
_cell_angle_alpha 90.00
_cell_angle_beta 117.02
_cell_angle_gamma 90.00
_space_group_name_H-M_alt 'C 1 2/m 1'
_space_group_IT_number 12
loop_
_space_group_symop_operation_xyz
'x,y,z'
'-x,-y,-z'
'-x,y,-z'
'x,-y,z'
'x+1/2,y+1/2,z'
'-x+1/2,-y+1/2,-z'
'-x+1/2,y+1/2,-z'
'x+1/2,-y+1/2,z'
loop_
_atom_site_label
_atom_site_type_symbol
_atom_site_fract_x
_atom_site_fract_y
_atom_site_fract_z
Li1 Li 0.000 0.000 0.000
La1 La 0.000 0.500 0.000
Os1 Os 0.250 0.250 0.500
```

Properties
energy of formation from the pure elements = 429 meV per atom
DFT total energy = -7.51 eV per atom
polymorph energy (0 for the lowest one) = 339.6 meV per atom

Li2LaOs | PBEsol | relaxed

The structure in CIF format:
```
data_Li2LaOs
_chemical_formula_sum 'Li4 La2 Os2'
_cell_length_a 10.617
_cell_length_b 3.431
_cell_length_c 4.547
_cell_angle_alpha 90.00
_cell_angle_beta 114.93
_cell_angle_gamma 90.00
_space_group_name_H-M_alt 'C 1 2/m 1'
_space_group_IT_number 12
loop_
_space_group_symop_operation_xyz
'x,y,z'
'-x,-y,-z'
'-x,y,-z'
'x,-y,z'
'x+1/2,y+1/2,z'
'-x+1/2,-y+1/2,-z'
'-x+1/2,y+1/2,-z'
'x+1/2,-y+1/2,z'
loop_
_atom_site_label
_atom_site_type_symbol
_atom_site_fract_x
_atom_site_fract_y
_atom_site_fract_z
Li1 Li 0.220 0.000 0.218
La1 La 0.000 0.000 0.500
Os1 Os 0.000 0.500 0.000
```

Properties
energy of formation from the pure elements = 191 meV per atom
DFT total energy = -5.18 eV per atom
polymorph energy (0 for the lowest one) = 0.0 meV per atom

LiLaOs4 | PBEsol | relaxed

The structure in CIF format:
```
data_LiLaOs4
_chemical_formula_sum 'Li4 La4 Os16'
_cell_length_a 7.489
_cell_length_b 7.489
_cell_length_c 7.489
_cell_angle_alpha 90.00
_cell_angle_beta 90.00
_cell_angle_gamma 90.00
_space_group_name_H-M_alt 'F -4 3 m'
_space_group_IT_number 216
_space_group_name_Hall 'F -4 2 3'
loop_
_atom_site_label
_atom_site_type_symbol
_atom_site_fract_x
_atom_site_fract_y
_atom_site_fract_z
Li1 Li 0.000 0.000 0.000
La1 La 0.250 0.250 0.250
Os1 Os 0.126 0.126 0.626
```

Properties
energy of formation from the pure elements = 310 meV per atom
DFT total energy = -9.05 eV per atom

LiLaOs2 | PBEsol | relaxed

The structure in CIF format:
```
data_LiLaOs2
_chemical_formula_sum 'Li1 La1 Os2'
_cell_length_a 2.713
_cell_length_b 2.713
_cell_length_c 9.036
_cell_angle_alpha 90.00
_cell_angle_beta 90.00
_cell_angle_gamma 90.00
_space_group_name_H-M_alt 'P 4/m m m'
_space_group_IT_number 123
_space_group_name_Hall '-P 4 2'
loop_
_atom_site_label
_atom_site_type_symbol
_atom_site_fract_x
_atom_site_fract_y
_atom_site_fract_z
Li1 Li 0.000 0.000 0.000
La1 La 0.000 0.000 0.500
Os1 Os 0.500 0.500 0.218
```

Properties
energy of formation from the pure elements = 763 meV per atom
DFT total energy = -7.17 eV per atom
polymorph energy (0 for the lowest one) = 673.5 meV per atom

LiLa2Os | PBEsol | relaxed

The structure in CIF format:
```
data_LiLa2Os
_chemical_formula_sum 'Li2 La4 Os2'
_cell_length_a 3.444
_cell_length_b 4.920
_cell_length_c 11.934
_cell_angle_alpha 90.00
_cell_angle_beta 90.00
_cell_angle_gamma 90.00
_space_group_name_H-M_alt 'I m m 2'
_space_group_IT_number 44
loop_
_space_group_symop_operation_xyz
'x,y,z'
'-x,-y,z'
'-x,y,z'
'x,-y,z'
'x+1/2,y+1/2,z+1/2'
'-x+1/2,-y+1/2,z+1/2'
'-x+1/2,y+1/2,z+1/2'
'x+1/2,-y+1/2,z+1/2'
loop_
_atom_site_label
_atom_site_type_symbol
_atom_site_fract_x
_atom_site_fract_y
_atom_site_fract_z
Li1 Li 0.000 0.000 0.000
La1 La 0.000 0.000 0.634
La2 La 0.000 0.500 0.834
Os1 Os 0.000 0.500 0.322
```

Properties
energy of formation from the pure elements = 134 meV per atom
DFT total energy = -6.09 eV per atom
polymorph energy (0 for the lowest one) = 152.4 meV per atom

Li2LaOs | PBEsol | relaxed

The structure in CIF format:
```
data_Li2LaOs
_chemical_formula_sum 'Li2 La1 Os1'
_cell_length_a 2.723
_cell_length_b 2.723
_cell_length_c 9.744
_cell_angle_alpha 90.00
_cell_angle_beta 90.00
_cell_angle_gamma 90.00
_space_group_name_H-M_alt 'P 4/m m m'
_space_group_IT_number 123
_space_group_name_Hall '-P 4 2'
loop_
_atom_site_label
_atom_site_type_symbol
_atom_site_fract_x
_atom_site_fract_y
_atom_site_fract_z
Li1 Li 0.000 0.000 0.198
La1 La 0.500 0.500 0.500
Os1 Os 0.500 0.500 0.000
```

Properties
energy of formation from the pure elements = 549 meV per atom
DFT total energy = -4.82 eV per atom
polymorph energy (0 for the lowest one) = 358.0 meV per atom